1.
Below is a geometry-optimized KNaLiAu structure, with properties calculated at the PBE level.

DOS at the Fermi energy: 1.6 states/eV per cell
SG: F-43m, No. 216
formation energy from the elements: -0.09 eV per atom

Lattice parameters (Å, degrees): 5.2635 5.2635 5.2635 60.00 60.00 60.00
Last column: nearest neighbours and their distance in Å.
Fractional coordinates of all 4 atoms:
1 Na 0.2500 0.2500 0.2500  4 K 3.22, 4 Au 3.22
2 K 0.0000 0.0000 0.0000  4 Li 3.22, 4 Na 3.22
3 Au 0.5000 0.5000 0.5000  4 Na 3.22, 4 Li 3.22
4 Li 0.7500 0.7500 0.7500  4 Au 3.22, 4 K 3.22



2.
Below is a geometry-optimized Sr3Cu5H12 structure, with properties calculated at the PBE level.

DOS at the Fermi energy: 19.3 states/eV per cell
raw total energy: -0.12451 Ha/atom
SG: Ia-3d, No. 230

Lattice parameters (Å, degrees): 10.4730 10.4730 10.4730 109.47 109.47 109.47
Last column: nearest neighbours and their distance in Å.
Fractional coordinates of all 80 atoms:
1 Sr 0.7500 0.3750 0.1250  8 H 2.41-2.58
2 Sr 0.8750 0.7500 0.1250  8 H 2.41-2.58
3 Sr 0.3750 0.7500 0.6250  8 H 2.41-2.58
4 Sr 0.2500 0.1250 0.3750  8 H 2.41-2.58
5 Sr 0.8750 0.1250 0.2500  8 H 2.41-2.58
6 Sr 0.3750 0.6250 0.2500  8 H 2.41-2.58
7 Sr 0.6250 0.3750 0.7500  8 H 2.41-2.58
8 Sr 0.1250 0.8750 0.7500  8 H 2.41-2.58
9 Sr 0.7500 0.8750 0.6250  8 H 2.41-2.58
10 Sr 0.6250 0.2500 0.3750  8 H 2.41-2.58
11 Sr 0.1250 0.2500 0.8750  8 H 2.41-2.58
12 Sr 0.2500 0.6250 0.8750  8 H 2.41-2.58
13 Cu 0.1250 0.3750 0.2500  4 H 1.72
14 Cu 0.0000 0.5000 0.0000  6 H 1.87
15 Cu 0.0000 0.0000 0.0000  6 H 1.87
16 Cu 0.3750 0.2500 0.1250  4 H 1.72
17 Cu 0.5000 0.0000 0.5000  6 H 1.87
18 Cu 0.5000 0.5000 0.0000  6 H 1.87
19 Cu 0.1250 0.7500 0.3750  4 H 1.72
20 Cu 0.7500 0.1250 0.8750  4 H 1.72
21 Cu 0.7500 0.6250 0.3750  4 H 1.72
22 Cu 0.3750 0.1250 0.7500  4 H 1.72
23 Cu 0.6250 0.8750 0.2500  4 H 1.72
24 Cu 0.5000 0.5000 0.5000  6 H 1.87
25 Cu 0.5000 0.0000 0.0000  6 H 1.87
26 Cu 0.0000 0.0000 0.5000  6 H 1.87
27 Cu 0.2500 0.3750 0.6250  4 H 1.72
28 Cu 0.2500 0.8750 0.1250  4 H 1.72
29 Cu 0.0000 0.5000 0.5000  6 H 1.87
30 Cu 0.8750 0.2500 0.6250  4 H 1.72
31 Cu 0.6250 0.7500 0.8750  4 H 1.72
32 Cu 0.8750 0.6250 0.7500  4 H 1.72
33 H 0.6850 0.1054 0.0020  2 Cu 1.72-1.87
34 H 0.3170 0.5020 0.3966  2 Cu 1.72-1.87
35 H 0.9980 0.3946 0.3150  2 Cu 1.72-1.87
36 H 0.5020 0.1850 0.1054  2 Cu 1.72-1.87
37 H 0.5796 0.6850 0.6830  2 Cu 1.72-1.87
38 H 0.9980 0.6034 0.1830  2 Cu 1.72-1.87
39 H 0.3170 0.8150 0.4204  2 Cu 1.72-1.87
40 H 0.1034 0.9204 0.1054  2 Cu 1.72-1.87
41 H 0.6034 0.9980 0.6830  2 Cu 1.72-1.87
42 H 0.6850 0.5796 0.1830  2 Cu 1.72-1.87
43 H 0.8150 0.4980 0.3946  2 Cu 1.72-1.87
44 H 0.8170 0.8966 0.0020  2 Cu 1.72-1.87
45 H 0.1054 0.6850 0.5020  2 Cu 1.72-1.87
46 H 0.3946 0.3966 0.0796  2 Cu 1.72-1.87
47 H 0.0796 0.8966 0.3946  2 Cu 1.72-1.87
48 H 0.4204 0.1054 0.6034  2 Cu 1.72-1.87
49 H 0.0796 0.1830 0.1850  2 Cu 1.72-1.87
50 H 0.4980 0.6830 0.1034  2 Cu 1.72-1.87
51 H 0.8170 0.9204 0.3150  2 Cu 1.72-1.87
52 H 0.1054 0.4204 0.1034  2 Cu 1.72-1.87
53 H 0.3946 0.9980 0.8150  2 Cu 1.72-1.87
54 H 0.6034 0.6054 0.4204  2 Cu 1.72-1.87
55 H 0.8966 0.8170 0.5020  2 Cu 1.72-1.87
56 H 0.8150 0.3170 0.9204  2 Cu 1.72-1.87
57 H 0.3966 0.3946 0.5796  2 Cu 1.72-1.87
58 H 0.1034 0.1830 0.4980  2 Cu 1.72-1.87
59 H 0.1850 0.6830 0.0796  2 Cu 1.72-1.87
60 H 0.1830 0.0796 0.6850  2 Cu 1.72-1.87
61 H 0.6054 0.0020 0.1850  2 Cu 1.72-1.87
62 H 0.8946 0.5796 0.8966  2 Cu 1.72-1.87
63 H 0.5020 0.3170 0.8966  2 Cu 1.72-1.87
64 H 0.5796 0.8946 0.3966  2 Cu 1.72-1.87
65 H 0.9204 0.8170 0.8150  2 Cu 1.72-1.87
66 H 0.9204 0.1034 0.6054  2 Cu 1.72-1.87
67 H 0.8946 0.3150 0.4980  2 Cu 1.72-1.87
68 H 0.1830 0.1034 0.9980  2 Cu 1.72-1.87
69 H 0.6054 0.6034 0.9204  2 Cu 1.72-1.87
70 H 0.3966 0.0020 0.3170  2 Cu 1.72-1.87
71 H 0.3150 0.4204 0.8170  2 Cu 1.72-1.87
72 H 0.1850 0.5020 0.6054  2 Cu 1.72-1.87
73 H 0.8966 0.0796 0.8946  2 Cu 1.72-1.87
74 H 0.6830 0.1850 0.5796  2 Cu 1.72-1.87
75 H 0.4980 0.8150 0.8946  2 Cu 1.72-1.87
76 H 0.0020 0.3966 0.8170  2 Cu 1.72-1.87
77 H 0.4204 0.3150 0.3170  2 Cu 1.72-1.87
78 H 0.0020 0.6054 0.6850  2 Cu 1.72-1.87
79 H 0.6830 0.4980 0.6034  2 Cu 1.72-1.87
80 H 0.3150 0.8946 0.9980  2 Cu 1.72-1.87



3.
Below is a geometry-optimized TlV3Cl8 structure, with properties calculated at the PBE level.

DOS at the Fermi energy: 4.4 states/eV per cell
SG: C2/m, No. 12
ΔE_f (raw): -1.074 eV per atom

Lattice parameters (Å, degrees): 7.7835 7.7816 7.6938 121.34 90.00 120.01
Last column: nearest neighbours and their distance in Å.
Fractional coordinates of all 12 atoms:
1 Tl 0.0000 0.0000 0.0000  6 Cl 2.90
2 V 0.5000 0.0000 0.0000  6 Cl 2.47-2.61
3 V 0.5000 0.5000 0.0000  6 Cl 2.47-2.62
4 V 0.0000 0.5000 0.0000  6 Cl 2.47-2.62
5 Cl 0.2587 0.5174 0.7824  3 V 2.61-2.62
6 Cl 0.7413 0.4826 0.2176  3 V 2.61-2.62
7 Cl 0.3122 0.0473 0.7884  2 V 2.47
8 Cl 0.7350 0.0473 0.7884  2 V 2.47
9 Cl 0.7350 0.4699 0.7885  2 V 2.47
10 Cl 0.2650 0.5301 0.2115  2 V 2.47
11 Cl 0.2650 0.9527 0.2116  2 V 2.47
12 Cl 0.6878 0.9527 0.2116  2 V 2.47



4.
Below is a geometry-optimized Na4SnHg2 structure, with properties calculated at the PBE level.

DOS at the Fermi energy: 3.8 states/eV per cell
ΔE to the lowest computed polymorph: 0.134 eV per atom
SG: I4/mmm, No. 139
formation energy from the elements: -0.02 eV per atom

Lattice parameters (Å, degrees): 5.9730 5.9730 8.6763 110.13 110.13 90.00
Last column: nearest neighbours and their distance in Å.
Fractional coordinates of all 7 atoms:
1 Na 0.8034 0.8034 0.6067  1 Sn 2.98, 1 Hg 3.04
2 Na 0.1966 0.1966 0.3933  1 Sn 2.98, 1 Hg 3.04
3 Na 0.0000 0.5000 0.0000  2 Sn 2.99
4 Na 0.5000 0.0000 0.0000  2 Sn 2.99
5 Hg 0.6030 0.6030 0.2060  5 Na 3.04-3.37, 1 Hg 3.12
6 Hg 0.3970 0.3970 0.7940  5 Na 3.04-3.37, 1 Hg 3.12
7 Sn 0.0000 0.0000 0.0000  6 Na 2.98-2.99



5.
Below is a geometry-optimized Ag4SbRh structure, with properties calculated at the PBE level.

DOS at the Fermi energy: 3.9 states/eV per cell
SG: F-43m, No. 216
ΔE_f (raw): 0.312 eV per atom

Lattice parameters (Å, degrees): 5.4448 5.4448 5.4448 60.00 60.00 60.00
Last column: nearest neighbours and their distance in Å.
Fractional coordinates of all 6 atoms:
1 Ag 0.8736 0.3755 0.3755  6 Ag 2.71-2.73
2 Ag 0.3755 0.3755 0.8736  6 Ag 2.71-2.73
3 Ag 0.3755 0.8736 0.3755  6 Ag 2.71-2.73
4 Ag 0.3755 0.3755 0.3755  6 Ag 2.71-2.73
5 Sb 0.0000 0.0000 0.0000  12 Ag 3.19, 4 Rh 3.33
6 Rh 0.7500 0.7500 0.7500  12 Ag 3.19, 4 Sb 3.33



6.
Below is a geometry-optimized Tl2CrPb structure, with properties calculated at the PBE level.

DOS at the Fermi energy: 2.7 states/eV per cell
ΔE to the lowest computed polymorph: 0.102 eV per atom
SG: I-4m2, No. 119
formation energy from the elements: 0.44 eV per atom

Lattice parameters (Å, degrees): 5.7481 5.7481 5.7481 130.99 130.99 71.83
Last column: nearest neighbours and their distance in Å.
Fractional coordinates of all 4 atoms:
1 Cr 0.5000 0.5000 0.0000  8 Tl 3.33-3.37, 4 Pb 3.33
2 Pb 0.7500 0.2500 0.5000  4 Cr 3.33, 8 Tl 3.33-3.37
3 Tl 0.0000 0.0000 0.0000  4 Pb 3.33, 4 Tl 3.33, 4 Cr 3.37
4 Tl 0.2500 0.7500 0.5000  4 Tl 3.33, 4 Cr 3.33, 4 Pb 3.37



7.
Below is a geometry-optimized Nd4DyTh2 structure, with properties calculated at the PBE level.

DOS at the Fermi energy: 10.1 states/eV per cell
SG: R-3m, No. 166
formation energy from the elements: 0.04 eV per atom

Lattice parameters (Å, degrees): 3.6333 3.6333 20.8446 85.00 85.00 60.00
Last column: nearest neighbours and their distance in Å.
Fractional coordinates of all 7 atoms:
1 Nd 0.3802 0.3802 0.8595  3 Dy 3.59, 9 Nd 3.63-3.71
2 Nd 0.0959 0.0959 0.7122  9 Nd 3.63-3.71, 3 Th 3.64
3 Nd 0.6198 0.6198 0.1405  3 Dy 3.59, 9 Nd 3.63-3.71
4 Nd 0.9041 0.9041 0.2878  9 Nd 3.63-3.71, 3 Th 3.64
5 Dy 0.0000 0.0000 0.0000  6 Nd 3.59, 6 Dy 3.63
6 Th 0.1896 0.1896 0.4311  9 Th 3.54-3.63, 3 Nd 3.64
7 Th 0.8104 0.8104 0.5689  9 Th 3.54-3.63, 3 Nd 3.64



8.
Below is a geometry-optimized LaRe3Bi structure, with properties calculated at the PBE level.

DOS at the Fermi energy: 8.2 states/eV per cell
ΔE to the lowest computed polymorph: 0.542 eV per atom
SG: Pm-3m, No. 221
formation energy from the elements: 2.78 eV per atom

Lattice parameters (Å, degrees): 4.9085 4.9085 4.9085 90.00 90.00 90.00
Last column: nearest neighbours and their distance in Å.
Fractional coordinates of all 5 atoms:
1 Re 0.0000 0.5000 0.0000  2 La 2.45
2 Re 0.0000 0.0000 0.5000  2 La 2.45
3 Re 0.5000 0.0000 0.0000  2 La 2.45
4 Bi 0.5000 0.5000 0.5000  12 Re 3.47
5 La 0.0000 0.0000 0.0000  6 Re 2.45



9.
Below is a geometry-optimized Hf2BiIN structure, with properties calculated at the PBE level.

DOS at the Fermi energy: 7.2 states/eV per cell
SG: P4/mmm, No. 123
ΔE_f (raw): 1.475 eV per atom

Lattice parameters (Å, degrees): 5.5503 4.3717 5.5503 90.00 90.00 90.00
Last column: nearest neighbours and their distance in Å.
Fractional coordinates of all 5 atoms:
1 I 0.5000 0.5000 0.5000  8 Hf 3.53, 4 N 3.92
2 Hf 0.0000 0.0000 0.5000  2 Bi 2.78
3 Hf 0.5000 0.0000 0.0000  2 Bi 2.78
4 Bi 0.0000 0.0000 0.0000  2 N 2.19
5 N 0.0000 0.5000 0.0000  2 Bi 2.19



10.
Below is a geometry-optimized MnInW2 structure, with properties calculated at the PBE level.

DOS at the Fermi energy: 3.4 states/eV per cell
SG: Cmmm, No. 65
formation energy from the elements: 0.56 eV per atom

Lattice parameters (Å, degrees): 5.1870 5.1870 2.7727 90.00 90.00 116.61
Last column: nearest neighbours and their distance in Å.
Fractional coordinates of all 4 atoms:
1 In 0.5000 0.0000 0.5000  2 Mn 2.73, 2 In 2.77, 8 W 2.94
2 Mn 0.0000 0.5000 0.5000  2 In 2.73, 2 Mn 2.77, 8 W 2.94
3 W 0.0000 0.0000 0.0000  4 W 2.73-2.77, 4 In 2.94, 4 Mn 2.94
4 W 0.5000 0.5000 0.0000  4 W 2.73-2.77, 4 Mn 2.94, 4 In 2.94



11.
Below is a geometry-optimized CdIn2W structure, with properties calculated at the PBE level.

DOS at the Fermi energy: 4.0 states/eV per cell
SG: R-3m, No. 166
formation energy from the elements: 0.48 eV per atom

Lattice parameters (Å, degrees): 10.0517 10.0517 10.0517 17.82 17.82 17.82
Last column: nearest neighbours and their distance in Å.
Fractional coordinates of all 4 atoms:
1 Cd 0.7500 0.7500 0.7500  6 Cd 3.11, 6 In 3.16
2 W 0.2500 0.2500 0.2500  6 In 2.96, 6 W 3.11
3 In 0.9958 0.9958 0.9958  3 W 2.96, 6 In 3.11, 3 Cd 3.16
4 In 0.5042 0.5042 0.5042  3 W 2.96, 6 In 3.11, 3 Cd 3.16



12.
Below is a geometry-optimized MnAs4Ru structure, with properties calculated at the PBE level.

DOS at the Fermi energy: 3.9 states/eV per cell
ΔE to the lowest computed polymorph: 0.853 eV per atom
SG: F-43m, No. 216
formation energy from the elements: 0.78 eV per atom

Lattice parameters (Å, degrees): 5.3940 5.3940 5.3940 60.00 60.00 60.00
Last column: nearest neighbours and their distance in Å.
Fractional coordinates of all 6 atoms:
1 Mn 0.7500 0.7500 0.7500  12 As 3.16, 4 Ru 3.30
2 As 0.8761 0.3746 0.3746  6 As 2.69-2.70
3 As 0.3746 0.3746 0.8761  6 As 2.69-2.70
4 As 0.3746 0.8761 0.3746  6 As 2.69-2.70
5 As 0.3746 0.3746 0.3746  6 As 2.69-2.70
6 Ru 0.0000 0.0000 0.0000  12 As 3.16, 4 Mn 3.30